## CrInPbCl6 (GGA-PBE)

Data for a relaxed structure of CrInPbCl6.

Cell: 6.9993 6.9992 6.5985 Å, 90.00 90.00 60.00°
Last column: nearest neighbours and their distance in Å.
Sites, in units of the cell vectors:
Cl 0.6062 0.0564 0.2878  1 Cr 2.38
Cl 0.0563 0.6063 0.7122  1 Cr 2.38
Cl 0.0563 0.3374 0.2878  1 Cr 2.38
Cl 0.6062 0.3374 0.7122  1 Cr 2.38
Cl 0.3373 0.6063 0.2878  1 Cr 2.38
Cl 0.3374 0.0564 0.7122  1 Cr 2.38
In 0.0000 0.0000 0.0000  6 Cl 3.20
Cr 0.3333 0.3333 0.5000  6 Cl 2.38
Pb 0.6666 0.6667 0.5000  6 Cl 2.90

space-group type = No. 149
final energy = -36.6 eV for the cell shown
formation energy from raw total energies = -1.054 eV per atom
magnetic moment = 3.000 μB per formula unit